# DyVIO4 GGA+U relaxed
data_DyVIO4
_symmetry_space_group_name_H-M 'C 1 2/m 1'
_symmetry_Int_Tables_number 12
_cell_length_a 12.110
_cell_length_b 6.328
_cell_length_c 6.783
_cell_angle_alpha 90.00
_cell_angle_beta 102.79
_cell_angle_gamma 90.00
loop_
_symmetry_equiv_pos_as_xyz
'x,y,z'
'-x,-y,-z'
'-x,y,-z'
'x,-y,z'
'x+1/2,y+1/2,z'
'-x+1/2,-y+1/2,-z'
'-x+1/2,y+1/2,-z'
'x+1/2,-y+1/2,z'
loop_
_atom_site_label
_atom_site_type_symbol
_atom_site_fract_x
_atom_site_fract_y
_atom_site_fract_z
Dy1 Dy 0.203 0.000 0.338
V1 V 0.131 0.000 0.756
I1 I 0.039 0.500 0.200
O1 O 0.013 0.000 0.275
O2 O 0.178 0.214 0.622
O3 O 0.194 0.000 0.009
# Energy in eV/atom: -6.97